Record 1
Rb2GeBBr6 after structural relaxation, computed with PBE-GGA.

Properties
Energy relative to the elements, uncorrected   -0.6598 eV per atom
DOS(E_F)   2.27 states/eV per cell
E_tot   -2.9865 eV/atom

a = 7.8202 Å, b = 7.8202 Å, c = 7.4415 Å
α = 58.30°, β = 58.30°, γ = 90.00°
Closest atoms and distances in Å follow each position.
Atoms (fractional coordinates):
Br1 0.2849 0.2849 0.4301  1 B 2.14
Br2 0.7151 0.7151 0.5699  1 B 2.14
B1 0.5000 0.5000 0.0000  2 Br 2.14
Br3 0.2504 0.7496 0.0000  1 B 2.76, 1 Ge 2.77
Rb1 0.7500 0.2500 0.5000  12 Br 3.72-3.93
Br4 0.7496 0.2504 0.0000  1 B 2.76, 1 Ge 2.77
Rb2 0.2500 0.7500 0.5000  12 Br 3.72-3.93
Ge1 0.0000 0.0000 0.0000  6 Br 2.77-2.84
Br5 0.7496 0.7496 0.0000  1 B 2.76, 1 Ge 2.77
Br6 0.2504 0.2504 0.0000  1 B 2.76, 1 Ge 2.77



Record 2
CeBeZn11 after structural relaxation, computed with PBE-GGA.

Properties
Energy of formation from the pure elements   -0.14 eV per atom
DOS(E_F)   7.91 states/eV per cell
E_tot   -1.9585 eV/atom

a = 5.1648 Å, b = 6.7219 Å, c = 6.7572 Å
α = 81.78°, β = 67.53°, γ = 68.04°
Closest atoms and distances in Å follow each position.
Atoms (fractional coordinates):
Zn1 0.0161 0.6415 0.3471  7 Zn 2.60-2.86, 1 Be 2.65
Zn2 0.3631 0.6415 0.6529  7 Zn 2.60-2.86, 1 Be 2.65
Zn3 0.7106 0.7749 0.7849  1 Be 2.50, 6 Zn 2.57-2.73
Zn4 0.5000 0.0000 0.5000  10 Zn 2.58-2.79
Zn5 0.6369 0.3585 0.3471  7 Zn 2.60-2.86, 1 Be 2.65
Zn6 0.2894 0.2251 0.2151  1 Be 2.50, 6 Zn 2.57-2.73
Zn7 0.0000 0.5000 0.0000  8 Zn 2.57-2.69, 2 Be 2.58
Zn8 0.5045 0.2251 0.7849  1 Be 2.50, 6 Zn 2.57-2.73
Be1 0.5000 0.5000 0.0000  10 Zn 2.50-2.65
Zn9 0.9839 0.3585 0.6529  7 Zn 2.60-2.86, 1 Be 2.65
Zn10 0.0000 0.0000 0.5000  10 Zn 2.58-2.79
Zn11 0.4955 0.7749 0.2151  1 Be 2.50, 6 Zn 2.57-2.73
Ce1 0.0000 0.0000 0.0000  18 Zn 3.11-3.38, 2 Be 3.39



Record 3
Na2HfU2Te6 after structural relaxation, computed with PBE-GGA.

Properties
Energy relative to the elements, uncorrected   -0.7715 eV per atom
DOS(E_F)   11.96 states/eV per cell
E_tot   -5.6822 eV/atom

a = 7.3681 Å, b = 7.3681 Å, c = 8.1601 Å
α = 98.98°, β = 98.98°, γ = 119.88°
Closest atoms and distances in Å follow each position.
Atoms (fractional coordinates):
Te1 0.6035 0.9167 0.2686  1 Hf 2.93, 2 U 3.09-3.10, 2 Na 3.22-3.27
U1 0.6679 0.3321 0.5000  6 Te 3.09-3.10
Hf1 0.0000 0.0000 0.5000  6 Te 2.93-2.95
Te2 0.0833 0.3965 0.7314  1 Hf 2.93, 2 U 3.09-3.10, 2 Na 3.22-3.27
Na1 0.8283 0.1717 0.0000  6 Te 3.22-3.27
Te3 0.2397 0.2397 0.2708  1 Hf 2.95, 2 U 3.09, 2 Na 3.22
Te4 0.3965 0.0833 0.7314  1 Hf 2.93, 2 U 3.09-3.10, 2 Na 3.22-3.27
U2 0.3321 0.6679 0.5000  6 Te 3.09-3.10
Te5 0.9167 0.6035 0.2686  1 Hf 2.93, 2 U 3.09-3.10, 2 Na 3.22-3.27
Te6 0.7603 0.7603 0.7292  1 Hf 2.95, 2 U 3.09, 2 Na 3.22
Na2 0.1717 0.8283 0.0000  6 Te 3.22-3.27



Record 4
Cs2K5Rb2Na2 after structural relaxation, computed with PBE-GGA.

Properties
Energy of formation from the pure elements   0.05 eV per atom
DOS(E_F)   8.23 states/eV per cell
E_tot   -1.0178 eV/atom

a = 5.9889 Å, b = 5.9889 Å, c = 25.1780 Å
α = 96.83°, β = 96.83°, γ = 90.00°
Closest atoms and distances in Å follow each position.
Atoms (fractional coordinates):
Cs1 0.2174 0.2174 0.4348  1 Na 4.37
K1 0.4285 0.9285 0.8571  2 Na 4.15, 6 K 4.23-4.64
Rb1 0.6528 0.6528 0.3057  4 Na 4.39
Cs2 0.7826 0.7826 0.5652  1 Na 4.37
K2 0.9285 0.4285 0.8571  2 Na 4.15, 6 K 4.23-4.64
Na1 0.1293 0.1293 0.2585  4 K 4.15, 1 Cs 4.37, 4 Rb 4.39
Rb2 0.3472 0.3472 0.6943  4 Na 4.39
Na2 0.8707 0.8707 0.7415  4 K 4.15, 1 Cs 4.37, 4 Rb 4.39
K3 0.0000 0.0000 0.0000  8 K 4.64
K4 0.0715 0.5715 0.1429  2 Na 4.15, 6 K 4.23-4.64
K5 0.5715 0.0715 0.1429  2 Na 4.15, 6 K 4.23-4.64



| no. | volume (Å³ per atom) |
| --- | --- |
| 1 | 30.45 |
| 2 | 15.47 |
| 3 | 33.18 |
| 4 | 80.93 |